No. 1
The following is a DFT calculation (PBE-GGA) of a relaxed structure of HgBi3F.

Cell lengths 5.7105, 5.7105, 5.7105 Å; angles 90.00, 90.00, 90.00 degrees
Fractional coordinates of all 5 atoms:
Hg (0.0000, 0.0000, 0.0000)
Bi (0.0000, 0.0000, 0.5000)
Bi (0.0000, 0.5000, 0.0000)
Bi (0.5000, 0.0000, 0.0000)
F (0.5000, 0.5000, 0.5000)

Summary:
Formation energy (no corrections), meV/atom: 403.6
Space-group type: Pm-3m
Calculated density, g/cm3: 7.55

---

No. 2
The following is a DFT calculation (PBE-GGA) of a relaxed structure of HgBiF2.

Cell lengths 6.1537, 6.1537, 6.1537 Å; angles 39.68, 39.68, 39.68 degrees
Fractional coordinates of all 4 atoms:
Hg (0.0000, 0.0000, 0.0000)
Bi (0.5000, 0.5000, 0.5000)
F (0.1915, 0.1915, 0.1915)
F (0.8085, 0.8085, 0.8085)

Summary:
Formation energy (no corrections), meV/atom: -1377.4
Space-group type: R-3m
Calculated density, g/cm3: 8.69

---

No. 3
The following is a DFT calculation (PBE-GGA) of a relaxed structure of Hg2BiF8.

Cell lengths 7.1931, 7.1931, 4.4305 Å; angles 90.00, 90.00, 120.00 degrees
Fractional coordinates of all 11 atoms:
Hg (0.3333, 0.6667, 0.2299)
Hg (0.6667, 0.3333, 0.7701)
Bi (0.0000, 0.0000, 0.5000)
F (0.1486, 0.2972, 0.2435)
F (0.1486, 0.8514, 0.2435)
F (0.2972, 0.1486, 0.7565)
F (0.3333, 0.6667, 0.7328)
F (0.6667, 0.3333, 0.2672)
F (0.7028, 0.8514, 0.2435)
F (0.8514, 0.1486, 0.7565)
F (0.8514, 0.7028, 0.7565)

Summary:
Formation energy (no corrections), meV/atom: -1647.6
Space-group type: P-3m1
Calculated density, g/cm3: 6.37

---

No. 4
The following is a DFT calculation (PBE-GGA) of a relaxed structure of Hg2BiF.

Cell lengths 8.3480, 8.3480, 8.3480 Å; angles 139.61, 139.61, 58.45 degrees
Fractional coordinates of all 8 atoms:
Hg (0.0788, 0.6250, 0.9538)
Hg (0.3750, 0.3288, 0.4538)
Hg (0.6712, 0.1250, 0.0462)
Hg (0.8750, 0.9212, 0.5462)
Bi (0.2500, 0.7500, 0.5000)
Bi (0.5000, 0.5000, 0.0000)
F (0.0000, 0.0000, 0.0000)
F (0.7500, 0.2500, 0.5000)

Summary:
Formation energy (no corrections), meV/atom: -409.0
Space-group type: I-42d
Calculated density, g/cm3: 8.63

---

No. 5
The following is a DFT calculation (PBE-GGA) of a relaxed structure of Hg12Bi3F5.

Cell lengths 14.2408, 14.2408, 14.2408 Å; angles 109.47, 109.47, 109.47 degrees
Fractional coordinates of all 80 atoms:
Hg (0.0371, 0.2185, 0.1149)
Hg (0.0371, 0.3186, 0.9222)
Hg (0.0778, 0.6149, 0.3964)
Hg (0.0778, 0.9629, 0.6814)
Hg (0.1036, 0.7185, 0.6814)
Hg (0.1036, 0.8851, 0.4222)
Hg (0.1149, 0.0371, 0.2185)
Hg (0.1149, 0.5778, 0.8964)
Hg (0.1814, 0.2185, 0.6036)
Hg (0.1814, 0.4629, 0.5778)
Hg (0.2185, 0.1149, 0.0371)
Hg (0.2185, 0.6036, 0.1814)
Hg (0.2815, 0.3186, 0.8964)
Hg (0.2815, 0.4629, 0.3851)
Hg (0.3186, 0.8964, 0.2815)
Hg (0.3186, 0.9222, 0.0371)
Hg (0.3851, 0.2815, 0.4629)
Hg (0.3851, 0.6036, 0.9222)
Hg (0.3964, 0.0778, 0.6149)
Hg (0.3964, 0.8186, 0.7815)
Hg (0.4222, 0.1036, 0.8851)
Hg (0.4222, 0.8186, 0.5371)
Hg (0.4629, 0.3851, 0.2815)
Hg (0.4629, 0.5778, 0.1814)
Hg (0.5371, 0.4222, 0.8186)
Hg (0.5371, 0.6149, 0.7185)
Hg (0.5778, 0.1814, 0.4629)
Hg (0.5778, 0.8964, 0.1149)
Hg (0.6036, 0.1814, 0.2185)
Hg (0.6036, 0.9222, 0.3851)
Hg (0.6149, 0.3964, 0.0778)
Hg (0.6149, 0.7185, 0.5371)
Hg (0.6814, 0.0778, 0.9629)
Hg (0.6814, 0.1036, 0.7185)
Hg (0.7185, 0.5371, 0.6149)
Hg (0.7185, 0.6814, 0.1036)
Hg (0.7815, 0.3964, 0.8186)
Hg (0.7815, 0.8851, 0.9629)
Hg (0.8186, 0.5371, 0.4222)
Hg (0.8186, 0.7815, 0.3964)
Hg (0.8851, 0.4222, 0.1036)
Hg (0.8851, 0.9629, 0.7815)
Hg (0.8964, 0.1149, 0.5778)
Hg (0.8964, 0.2815, 0.3186)
Hg (0.9222, 0.0371, 0.3186)
Hg (0.9222, 0.3851, 0.6036)
Hg (0.9629, 0.6814, 0.0778)
Hg (0.9629, 0.7815, 0.8851)
Bi (0.1250, 0.2500, 0.3750)
Bi (0.1250, 0.3750, 0.7500)
Bi (0.2500, 0.3750, 0.1250)
Bi (0.2500, 0.8750, 0.6250)
Bi (0.3750, 0.1250, 0.2500)
Bi (0.3750, 0.7500, 0.1250)
Bi (0.6250, 0.2500, 0.8750)
Bi (0.6250, 0.8750, 0.7500)
Bi (0.7500, 0.1250, 0.3750)
Bi (0.7500, 0.6250, 0.8750)
Bi (0.8750, 0.6250, 0.2500)
Bi (0.8750, 0.7500, 0.6250)
F (0.0000, 0.0000, 0.0000)
F (0.0000, 0.0000, 0.5000)
F (0.0000, 0.5000, 0.0000)
F (0.0000, 0.5000, 0.5000)
F (0.1250, 0.7500, 0.8750)
F (0.1250, 0.8750, 0.2500)
F (0.2500, 0.1250, 0.8750)
F (0.2500, 0.6250, 0.3750)
F (0.3750, 0.2500, 0.6250)
F (0.3750, 0.6250, 0.7500)
F (0.5000, 0.0000, 0.0000)
F (0.5000, 0.0000, 0.5000)
F (0.5000, 0.5000, 0.0000)
F (0.5000, 0.5000, 0.5000)
F (0.6250, 0.3750, 0.2500)
F (0.6250, 0.7500, 0.3750)
F (0.7500, 0.3750, 0.6250)
F (0.7500, 0.8750, 0.1250)
F (0.8750, 0.1250, 0.7500)
F (0.8750, 0.2500, 0.1250)

Summary:
Formation energy (no corrections), meV/atom: -439.4
Space-group type: Ia-3d
Calculated density, g/cm3: 9.35

---

No. 6
The following is a DFT calculation (PBE-GGA) of a relaxed structure of HgBiF6.

Cell lengths 5.7212, 5.7212, 10.7532 Å; angles 90.00, 90.00, 120.00 degrees
Fractional coordinates of all 16 atoms:
Hg (0.3333, 0.6667, 0.2500)
Hg (0.6667, 0.3333, 0.7500)
Bi (0.0000, 0.0000, 0.0000)
Bi (0.0000, 0.0000, 0.5000)
F (0.0461, 0.3278, 0.1187)
F (0.0461, 0.7183, 0.3813)
F (0.2817, 0.3278, 0.3813)
F (0.2817, 0.9539, 0.1187)
F (0.3278, 0.0461, 0.6187)
F (0.3278, 0.2817, 0.8813)
F (0.6722, 0.7183, 0.1187)
F (0.6722, 0.9539, 0.3813)
F (0.7183, 0.0461, 0.8813)
F (0.7183, 0.6722, 0.6187)
F (0.9539, 0.2817, 0.6187)
F (0.9539, 0.6722, 0.8813)

Summary:
Formation energy (no corrections), meV/atom: -1833.2
Space-group type: P-31c
Calculated density, g/cm3: 5.70

---

No. 7
The following is a DFT calculation (PBE-GGA) of a relaxed structure of HgBiF2.

Cell lengths 6.3500, 6.3500, 6.3500 Å; angles 103.39, 103.39, 122.46 degrees
Fractional coordinates of all 8 atoms:
Hg (0.0000, 0.0000, 0.0000)
Hg (0.7500, 0.2500, 0.5000)
Bi (0.2500, 0.7500, 0.5000)
Bi (0.5000, 0.5000, 0.0000)
F (0.2410, 0.6250, 0.1160)
F (0.3750, 0.4910, 0.6160)
F (0.5090, 0.1250, 0.8840)
F (0.8750, 0.7590, 0.3840)

Summary:
Formation energy (no corrections), meV/atom: -1332.5
Space-group type: I-42d
Calculated density, g/cm3: 7.85

---

No. 8
The following is a DFT calculation (PBE-GGA) of a relaxed structure of HgBiF2.

Cell lengths 8.8362, 8.8362, 8.8362 Å; angles 22.00, 22.00, 22.00 degrees
Fractional coordinates of all 4 atoms:
Hg (0.0000, 0.0000, 0.0000)
Bi (0.5000, 0.5000, 0.5000)
F (0.4141, 0.4141, 0.4141)
F (0.5859, 0.5859, 0.5859)

Summary:
Formation energy (no corrections), meV/atom: -1211.9
Space-group type: R-3m
Calculated density, g/cm3: 8.76

---

What is the formation energy (no corrections) in the eighth record?
-1211.9 meV/atom

---

The lowest calculated density belongs to which entry?
HgBiF6

---

Among the records above, which one has the lowest calculated density?
HgBiF6

---

The highest formation energy (no corrections) belongs to which entry?
HgBi3F